Compound: Rb3TaAl2O8
Source: Alexandria
Functional: PBE
Structure: optimized geometry

## Properties
E_form (uncorrected), eV/atom: -2.225

a = 5.7649 Å, b = 5.7649 Å, c = 8.0922 Å
α = 90.00°, β = 90.00°, γ = 120.00°
Fractional positions:
Rb 0.0000 0.0000 0.0000
Rb 0.3333 0.6667 0.7328
Rb 0.6667 0.3333 0.2672
Ta 0.0000 0.0000 0.5000
Al 0.3333 0.6667 0.2923
Al 0.6667 0.3333 0.7077
O 0.1646 0.3293 0.3588
O 0.1646 0.8354 0.3588
O 0.3293 0.1646 0.6412
O 0.3333 0.6667 0.0736
O 0.6667 0.3333 0.9264
O 0.6707 0.8354 0.3588
O 0.8354 0.1646 0.6412
O 0.8354 0.6707 0.6412